NaHf2Au2 PBE-GGA relaxed; energy above the most stable polymorph in this dataset = 0.023 eV per atom; total moment = 0.000 μB/atom; N(E_F) = 7.55 states/eV per cell; calculated total energy = -5.744 eV/atom; energy of formation = -0.188 eV per atom
1.0
8.5012 0.0000 0.0000
0.0000 8.5012 0.0000
0.0000 0.0000 2.9697
Na Hf Au
2 4 4
Cartesian
0.0000 0.0000 0.0000
4.2506 4.2506 0.0000
1.0687 3.1819 0.0000
3.1819 7.4325 0.0000
5.3193 1.0687 0.0000
7.4325 5.3193 0.0000
1.4423 5.6929 1.4849
2.8083 1.4423 1.4849
5.6929 7.0589 1.4849
7.0589 2.8083 1.4849